Na2GaAu: relaxed, PBE.

Cell lengths 4.6124, 6.1277, 7.6800 Å; angles 76.83, 72.53, 67.89 degrees
With the nearest neighbours (Å) after each atom.
Fractional positions:
Na: 0.1963 0.2359 0.3716  1 Ga 3.04, 2 Au 3.15, 2 Na 3.32
Na: 0.8176 0.8395 0.5252  4 Au 3.09, 2 Ga 3.28-3.29, 4 Na 3.32
Na: 0.4403 0.4422 0.6773  1 Ga 3.04, 2 Au 3.14-3.15, 2 Na 3.32
Na: 0.8176 0.3406 0.0241  2 Au 2.97, 4 Ga 3.16
Ga: 0.1003 0.6934 0.1059  3 Au 2.63-2.70
Ga: 0.5344 0.9864 0.9447  3 Au 2.63-2.70
Au: 0.1291 0.9666 0.7751  3 Ga 2.63-2.70
Au: 0.5064 0.7120 0.2752  3 Ga 2.63-2.70

Output
Calculated total energy = -2.4687 eV per atom
Volume = 23.77 Å³/atom
Fermi-level density of states = 0.290 states/eV per atom
Energy of formation from the pure elements = -0.233 eV per atom